# YNpBr6

A geometry-optimized YNpBr6 structure (PBE, Alexandria).

Unit cell a=7.077 b=7.105 c=7.493 alpha=61.70 beta=82.04 gamma=73.01
Each line ends with the local moment (μB).
Positions (direct):
1 Y 0.000 0.000 0.000  0.02
2 Np 0.500 0.500 0.000  3.96
3 Br 0.756 0.389 0.707  -0.01
4 Br 0.756 0.096 0.293  -0.01
5 Br 0.244 0.904 0.707  -0.01
6 Br 0.244 0.611 0.293  -0.01
7 Br 0.753 0.753 0.000  -0.01
8 Br 0.247 0.247 0.000  -0.01

Properties
The crystal system is monoclinic. As for the symmetry: No. 12.


# NpZnBr6

A geometry-optimized NpZnBr6 structure (PBE, Alexandria).

Unit cell a=6.864 b=6.866 c=7.387 alpha=62.30 beta=62.31 gamma=59.99
Each line ends with the local moment (μB).
Positions (direct):
1 Np 0.000 0.000 0.000  3.25
2 Zn 0.500 0.500 0.500  0.01
3 Br 0.107 0.406 0.743  -0.04
4 Br 0.744 0.107 0.743  -0.04
5 Br 0.594 0.256 0.257  -0.04
6 Br 0.256 0.893 0.257  -0.04
7 Br 0.893 0.594 0.257  -0.04
8 Br 0.406 0.744 0.743  -0.04

Properties
The crystal system is trigonal. For the offset from the most stable computed form, the calculation gives 50.5 meV per atom. As for the symmetry: No. 148.


# NpZnBr6

A geometry-optimized NpZnBr6 structure (PBE, Alexandria).

Unit cell a=7.335 b=7.335 c=6.719 alpha=90.53 beta=90.53 gamma=119.66
Each line ends with the local moment (μB).
Positions (direct):
1 Np 0.000 0.000 0.500  3.21
2 Zn 0.000 0.000 0.000  0.00
3 Br 0.291 0.999 0.239  -0.04
4 Br 0.999 0.291 0.239  -0.04
5 Br 0.001 0.709 0.761  -0.04
6 Br 0.709 0.001 0.761  -0.04
7 Br 0.291 0.291 0.769  -0.04
8 Br 0.709 0.709 0.231  -0.04

Properties
The crystal system is monoclinic. For the offset from the most stable computed form, the calculation gives 0.0 meV per atom. As for the symmetry: No. 12.


# NpZn3Br9

A geometry-optimized NpZn3Br9 structure (PBE, Alexandria).

Unit cell a=9.531 b=10.589 c=11.540 alpha=75.47 beta=65.61 gamma=63.25
Each line ends with the local moment (μB).
Positions (direct):
1 Np 0.019 0.498 0.003  3.97
2 Np 0.480 0.998 0.503  3.97
3 Zn 0.818 0.542 0.671  0.00
4 Zn 0.969 0.042 0.171  0.00
5 Zn 0.987 0.954 0.836  0.00
6 Zn 0.224 0.454 0.336  0.00
7 Zn 0.600 0.248 0.715  0.00
8 Zn 0.437 0.748 0.215  0.00
9 Br 0.312 0.200 0.330  -0.01
10 Br 0.158 0.700 0.830  -0.01
11 Br 0.382 0.316 0.923  -0.01
12 Br 0.379 0.816 0.423  -0.01
13 Br 0.166 0.085 0.713  -0.02
14 Br 0.037 0.585 0.213  -0.02
15 Br 0.711 0.749 0.065  -0.02
16 Br 0.475 0.249 0.565  -0.02
17 Br 0.839 0.932 0.378  -0.01
18 Br 0.851 0.432 0.878  -0.01
19 Br 0.583 0.775 0.695  -0.02
20 Br 0.946 0.275 0.195  -0.02
21 Br 0.480 0.500 0.232  0.00
22 Br 0.789 0.000 0.732  0.00
23 Br 0.758 0.394 0.581  0.00
24 Br 0.267 0.894 0.081  0.00
25 Br 0.815 0.065 0.037  0.00
26 Br 0.083 0.565 0.537  0.00

Properties
The crystal system is monoclinic. As for the symmetry: No. 9.


# BrO2

A geometry-optimized BrO2 structure (PBE, Alexandria).

Unit cell a=12.309 b=4.378 c=4.592 alpha=75.09 beta=90.00 gamma=90.00
Each line ends with the local moment (μB).
Positions (direct):
1 Br 0.158 0.195 0.010  -0.29
2 Br 0.658 0.805 0.490  -0.29
3 Br 0.842 0.805 0.990  -0.29
4 Br 0.342 0.195 0.510  -0.29
5 O 0.331 0.601 0.405  -0.39
6 O 0.831 0.399 0.095  -0.39
7 O 0.669 0.399 0.595  -0.39
8 O 0.169 0.601 0.905  -0.39
9 O 0.504 0.355 0.026  0.68
10 O 0.004 0.645 0.474  0.68
11 O 0.496 0.645 0.974  0.68
12 O 0.996 0.355 0.526  0.68

Properties
The crystal system is monoclinic. For the offset from the most stable computed form, the calculation gives 56.0 meV per atom. As for the symmetry: No. 14.


# Br3O2

A geometry-optimized Br3O2 structure (PBE, Alexandria).

Unit cell a=5.755 b=7.091 c=8.223 alpha=66.68 beta=82.00 gamma=83.86
Positions (direct):
1 O 0.895 0.995 0.361
2 O 0.510 0.795 0.331
3 O 0.497 0.249 0.270
4 O 0.838 0.456 0.431
5 Br 0.615 0.043 0.419
6 Br 0.136 0.413 0.949
7 Br 0.767 0.686 0.262
8 Br 0.987 0.453 0.673
9 Br 0.647 0.026 0.827
10 Br 0.399 0.744 0.877

Properties
The crystal system is triclinic. For the offset from the most stable computed form, the calculation gives 95.4 meV per atom. As for the symmetry: No. 1.


# Br3O2

A geometry-optimized Br3O2 structure (PBE, Alexandria).

Unit cell a=5.215 b=5.265 c=6.690 alpha=74.02 beta=73.25 gamma=81.65
Each line ends with the local moment (μB).
Positions (direct):
1 Br 0.718 0.623 0.563  -0.04
2 Br 0.435 0.355 0.895  -0.02
3 Br 0.042 0.930 0.264  -0.07
4 O 0.948 0.870 0.754  0.49
5 O 0.097 0.011 0.600  0.46

Properties
The crystal system is triclinic. For the offset from the most stable computed form, the calculation gives 24.8 meV per atom. As for the symmetry: No. 1.


# Br3O2

A geometry-optimized Br3O2 structure (PBE, Alexandria).

Unit cell a=4.472 b=5.757 c=7.364 alpha=91.68 beta=78.26 gamma=70.65
Each line ends with the local moment (μB).
Positions (direct):
1 Br 0.443 0.358 0.531  0.00
2 Br 0.437 0.946 0.038  0.00
3 Br 0.712 0.097 0.759  -0.02
4 O 0.300 0.793 0.308  0.43
5 O 0.319 0.566 0.287  0.43

Properties
The crystal system is triclinic. For the offset from the most stable computed form, the calculation gives 57.3 meV per atom. As for the symmetry: No. 1.


# Br3O2

A geometry-optimized Br3O2 structure (PBE, Alexandria).

Unit cell a=5.879 b=7.553 c=7.540 alpha=111.51 beta=106.14 gamma=96.06
Positions (direct):
1 O 0.770 0.543 0.983
2 O 0.230 0.457 0.017
3 O 0.032 0.659 0.390
4 O 0.968 0.341 0.610
5 Br 0.895 0.467 0.165
6 Br 0.105 0.533 0.835
7 Br 0.785 0.812 0.606
8 Br 0.215 0.188 0.394
9 Br 0.564 0.965 0.817
10 Br 0.436 0.035 0.183

Properties
The crystal system is triclinic. For the offset from the most stable computed form, the calculation gives 104.8 meV per atom. As for the symmetry: No. 2.


# BrO2

A geometry-optimized BrO2 structure (PBE, Alexandria).

Unit cell a=4.619 b=5.119 c=6.386 alpha=103.54 beta=95.30 gamma=111.24
Positions (direct):
1 Br 0.158 0.271 0.695
2 Br 0.058 0.984 0.160
3 O 0.451 0.073 0.218
4 O 0.589 0.520 0.420
5 O 0.935 0.949 0.889
6 O 0.319 0.501 0.455

Properties
The crystal system is triclinic. For the offset from the most stable computed form, the calculation gives 42.6 meV per atom. As for the symmetry: No. 1.


# BrO2

A geometry-optimized BrO2 structure (PBE, Alexandria).

Unit cell a=4.385 b=5.727 c=6.024 alpha=79.82 beta=80.91 gamma=81.83
Positions (direct):
1 Br 0.332 0.570 0.323
2 Br 0.399 0.127 0.817
3 O 0.465 0.415 0.672
4 O 0.992 0.398 0.029
5 O 0.290 0.742 0.043
6 O 0.059 0.584 0.905

Properties
The crystal system is triclinic. For the offset from the most stable computed form, the calculation gives 0.0 meV per atom. As for the symmetry: No. 1.


# Br3O2

A geometry-optimized Br3O2 structure (PBE, Alexandria).

Unit cell a=4.422 b=7.273 c=10.107 alpha=100.37 beta=97.41 gamma=96.99
Positions (direct):
1 O 0.130 0.185 0.725
2 O 0.588 0.610 0.804
3 O 0.436 0.100 0.503
4 O 0.105 0.487 0.588
5 Br 0.099 0.135 0.554
6 Br 0.456 0.624 0.328
7 Br 0.207 0.542 0.759
8 Br 0.160 0.323 0.164
9 Br 0.866 0.027 0.006
10 Br 0.661 0.825 0.170

Properties
The crystal system is triclinic. For the offset from the most stable computed form, the calculation gives 81.4 meV per atom. As for the symmetry: No. 1.


# Br3O2

A geometry-optimized Br3O2 structure (PBE, Alexandria).

Unit cell a=3.207 b=6.597 c=8.469 alpha=63.38 beta=86.54 gamma=87.75
Each line ends with the local moment (μB).
Positions (direct):
1 Br 0.874 0.977 0.443  0.00
2 Br 0.970 0.678 0.988  0.00
3 Br 0.922 0.827 0.216  0.00
4 O 0.432 0.325 0.785  0.81
5 O 0.351 0.328 0.644  0.81

Properties
The crystal system is triclinic. For the offset from the most stable computed form, the calculation gives 0.0 meV per atom. As for the symmetry: No. 1.


# Br3O2

A geometry-optimized Br3O2 structure (PBE, Alexandria).

Unit cell a=4.701 b=6.169 c=6.335 alpha=64.11 beta=67.46 gamma=73.47
Each line ends with the local moment (μB).
Positions (direct):
1 Br 0.220 0.565 0.218  0.00
2 Br 0.780 0.435 0.782  0.00
3 Br 0.000 0.000 0.000  0.01
4 O 0.431 0.930 0.497  0.80
5 O 0.569 0.070 0.503  0.80

Properties
The crystal system is triclinic. For the offset from the most stable computed form, the calculation gives 40.3 meV per atom. As for the symmetry: No. 2.


# BrO2

A geometry-optimized BrO2 structure (PBE, Alexandria).

Unit cell a=4.421 b=4.840 c=6.227 alpha=85.58 beta=74.84 gamma=86.94
Positions (direct):
1 Br 0.557 0.632 0.266
2 Br 0.891 0.122 0.834
3 O 0.011 0.523 0.826
4 O 0.482 0.957 0.333
5 O 0.918 0.520 0.268
6 O 0.752 0.689 0.857

Properties
The crystal system is triclinic. For the offset from the most stable computed form, the calculation gives 26.4 meV per atom. As for the symmetry: No. 1.


# BrO3

A geometry-optimized BrO3 structure (PBE, Alexandria).

Unit cell a=8.262 b=8.262 c=3.536 alpha=90.00 beta=90.00 gamma=123.92
Each line ends with the local moment (μB).
Positions (direct):
1 Br 0.529 0.471 0.500  0.07
2 Br 0.029 0.971 0.000  0.07
3 O 0.084 0.916 0.500  0.12
4 O 0.584 0.416 0.000  0.12
5 O 0.222 0.630 0.935  0.81
6 O 0.370 0.778 0.065  0.81
7 O 0.722 0.130 0.565  0.81
8 O 0.870 0.278 0.435  0.81

Properties
The crystal system is orthorhombic. As for the symmetry: No. 41.


# Br7O5

A geometry-optimized Br7O5 structure (PBE, Alexandria).

Unit cell a=8.680 b=5.112 c=20.088 alpha=58.29 beta=44.14 gamma=34.83
Each line ends with the local moment (μB).
Positions (direct):
1 Br 0.308 0.822 0.680  0.15
2 Br 0.771 0.162 0.311  -0.10
3 Br 0.378 0.058 0.224  0.17
4 Br 0.685 0.917 0.780  0.06
5 Br 0.224 0.509 0.942  0.02
6 Br 0.530 0.486 0.499  -0.08
7 Br 0.590 0.596 0.022  0.10
8 O 0.588 0.334 0.598  0.16
9 O 0.476 0.644 0.400  -0.29
10 O 0.081 0.634 0.207  0.25
11 O 0.995 0.322 0.789  0.19
12 O 0.874 0.015 0.048  0.14

Properties
The crystal system is triclinic. As for the symmetry: No. 1.


# Br2O3

A geometry-optimized Br2O3 structure (PBE, Alexandria).

Unit cell a=8.497 b=9.566 c=11.941 alpha=111.36 beta=90.00 gamma=90.00
Positions (direct):
1 O 0.196 0.795 0.663
2 O 0.696 0.705 0.337
3 O 0.804 0.205 0.337
4 O 0.304 0.295 0.663
5 O 0.476 0.896 0.596
6 O 0.976 0.604 0.404
7 O 0.524 0.104 0.404
8 O 0.024 0.396 0.596
9 O 0.356 0.637 0.449
10 O 0.856 0.863 0.551
11 O 0.644 0.363 0.551
12 O 0.144 0.137 0.449
13 O 0.078 0.989 0.148
14 O 0.578 0.511 0.852
15 O 0.922 0.011 0.852
16 O 0.422 0.489 0.148
17 O 0.269 0.825 0.250
18 O 0.769 0.675 0.750
19 O 0.731 0.175 0.750
20 O 0.231 0.325 0.250
21 O 0.401 0.936 0.094
22 O 0.901 0.564 0.906
23 O 0.599 0.064 0.906
24 O 0.099 0.436 0.094
25 Br 0.311 0.812 0.534
26 Br 0.811 0.688 0.466
27 Br 0.689 0.188 0.466
28 Br 0.189 0.312 0.534
29 Br 0.324 0.757 0.781
30 Br 0.824 0.743 0.219
31 Br 0.676 0.243 0.219
32 Br 0.176 0.257 0.781
33 Br 0.284 0.974 0.214
34 Br 0.784 0.526 0.786
35 Br 0.716 0.026 0.786
36 Br 0.216 0.474 0.214
37 Br 0.999 0.806 0.045
38 Br 0.499 0.694 0.955
39 Br 0.001 0.194 0.955
40 Br 0.501 0.306 0.045

Properties
The crystal system is monoclinic. As for the symmetry: No. 14.


# BrO2

A geometry-optimized BrO2 structure (PBE, Alexandria).

Unit cell a=4.393 b=4.489 c=7.131 alpha=94.04 beta=102.90 gamma=100.98
Positions (direct):
1 Br 0.396 0.518 0.268
2 Br 0.814 0.222 0.688
3 O 0.034 0.597 0.891
4 O 0.001 0.407 0.216
5 O 0.514 0.884 0.367
6 O 0.337 0.640 0.953

Properties
The crystal system is triclinic. For the offset from the most stable computed form, the calculation gives 11.2 meV per atom. As for the symmetry: No. 1.


# Br3O2

A geometry-optimized Br3O2 structure (PBE, Alexandria).

Unit cell a=7.368 b=4.863 c=15.567 alpha=70.34 beta=76.31 gamma=40.75
Each line ends with the local moment (μB).
Positions (direct):
1 Br 0.531 0.076 0.765  0.00
2 Br 0.372 0.924 0.235  0.00
3 Br 0.055 0.485 0.729  0.00
4 Br 0.269 0.515 0.271  0.00
5 Br 0.966 0.000 0.000  0.23
6 Br 0.707 0.500 0.500  0.24
7 O 0.309 0.578 0.987  0.27
8 O 0.875 0.422 0.013  0.27
9 O 0.038 0.120 0.469  0.27
10 O 0.628 0.880 0.531  0.27

Properties
The crystal system is monoclinic. For the offset from the most stable computed form, the calculation gives 142.9 meV per atom. As for the symmetry: No. 5.


# Br3O2

A geometry-optimized Br3O2 structure (PBE, Alexandria).

Unit cell a=4.701 b=5.680 c=6.416 alpha=86.10 beta=80.80 gamma=82.00
Each line ends with the local moment (μB).
Positions (direct):
1 Br 0.993 0.590 0.736  -0.03
2 Br 0.121 0.417 0.383  -0.12
3 Br 0.835 0.788 0.092  -0.15
4 O 0.588 0.042 0.695  0.58
5 O 0.568 0.087 0.882  0.51

Properties
The crystal system is triclinic. For the offset from the most stable computed form, the calculation gives 13.1 meV per atom. As for the symmetry: No. 1.


# BrO3

A geometry-optimized BrO3 structure (PBE, Alexandria).

Unit cell a=4.888 b=4.891 c=4.897 alpha=95.67 beta=104.80 gamma=130.33
Each line ends with the local moment (μB).
Positions (direct):
1 Br 0.979 0.978 0.501  -0.24
2 O 0.555 0.554 0.501  -0.41
3 O 0.083 0.584 0.999  0.74
4 O 0.384 0.884 0.000  0.73

Properties
The crystal system is monoclinic. As for the symmetry: No. 8.


# Br4O

A geometry-optimized Br4O structure (PBE, Alexandria).

Unit cell a=4.874 b=4.874 c=4.874 alpha=90.00 beta=90.00 gamma=90.00
Each line ends with the local moment (μB).
Positions (direct):
1 Br 0.000 0.000 0.000  0.72
2 Br 0.500 0.000 0.500  0.32
3 Br 0.000 0.500 0.500  0.32
4 Br 0.500 0.500 0.000  0.32
5 O 0.500 0.500 0.500  0.11

Properties
The crystal system is cubic. As for the symmetry: No. 221.


Electronic total energy: -5.248; -4.025; -4.076; -3.414; -3.563; -2.800; -2.871; -2.838; -2.791; -3.577; -3.619; -2.814; -2.896; -2.855; -3.593; -3.895; -2.760; -3.402; -3.608; -2.753; -2.882; -3.895; -1.566 (eV/atom)
ΔE_f (raw): -1.57; -0.99; -1.04; -0.97; 0.30; 0.19; 0.12; 0.15; 0.20; 0.29; 0.24; 0.17; 0.09; 0.13; 0.27; 0.24; 0.28; 0.24; 0.25; 0.23; 0.10; 0.24; 0.76 (eV/atom)